Entry 1:
A plane-wave DFT calculation with GGA-PBE was carried out for a geometry-optimized Sr2Zr structure.

```
12
Lattice="13.200 0.000 0.000 0.000 3.667 0.000 -1.887 0.000 9.953" Properties=species:S:1:pos:R:3 pbc="T T T"
Sr 0.000 0.000 0.000
Sr -0.080 0.000 4.328
Sr 1.325 1.834 7.959
Sr 3.431 0.000 1.992
Sr 6.600 1.834 0.000
Sr 6.520 1.834 4.328
Sr 7.925 0.000 7.959
Sr 10.031 1.834 1.992
Zr 3.039 1.834 4.998
Zr 4.437 0.000 6.814
Zr 9.638 0.000 4.998
Zr 11.037 1.834 6.814
```

Properties
The calculation puts the magnetization at 0.95 μB per cell. As for the space group: Cm (8). As for the uncorrected energy: -0.1314 Ha/atom. The density of states at the Fermi level comes out at 17.45 states/eV/cell. The value obtained for the offset from the most stable computed form is 45.1 meV/atom.

=====

Entry 2:
A plane-wave DFT calculation with GGA-PBE was carried out for a geometry-optimized Sr3Zr structure.

```
16
Lattice="13.213 0.000 0.000 0.000 12.961 0.000 0.000 0.000 4.092" Properties=species:S:1:pos:R:3 pbc="T T T"
Sr 0.000 2.033 1.023
Sr 0.000 10.929 3.069
Sr 2.890 4.881 1.023
Sr 2.890 8.080 3.069
Sr 3.716 1.600 3.069
Sr 3.716 11.362 1.023
Sr 6.607 4.448 3.069
Sr 6.607 8.513 1.023
Sr 9.497 1.600 3.069
Sr 9.497 11.362 1.023
Sr 10.323 4.881 1.023
Sr 10.323 8.080 3.069
Zr 0.000 5.402 3.069
Zr 0.000 7.560 1.023
Zr 6.607 1.079 1.023
Zr 6.607 11.882 3.069
```

Properties
The calculation puts the magnetization at 5.19 μB per cell. As for the space group: Cmcm (63). As for the uncorrected energy: -0.1137 Ha/atom. The density of states at the Fermi level comes out at 21.74 states/eV/cell. The value obtained for the offset from the most stable computed form is 0.0 meV/atom.

=====

Entry 3:
A plane-wave DFT calculation with GGA-PBE was carried out for a geometry-optimized Sr3Zr structure.

```
8
Lattice="3.861 0.000 0.000 0.000 12.780 0.000 0.000 0.000 6.780" Properties=species:S:1:pos:R:3 pbc="T T T"
Sr 0.000 0.000 0.000
Sr 0.000 2.969 2.502
Sr 0.000 9.810 2.502
Sr 1.931 3.420 5.892
Sr 1.931 6.390 3.390
Sr 1.931 9.359 5.892
Zr 0.000 6.390 0.101
Zr 1.931 0.000 3.491
```

Properties
The calculation puts the magnetization at 4.47 μB per cell. As for the space group: Imm2 (44). As for the uncorrected energy: -0.1075 Ha/atom. The density of states at the Fermi level comes out at 10.00 states/eV/cell. The value obtained for the offset from the most stable computed form is 168.3 meV/atom.

=====

Entry 4:
A plane-wave DFT calculation with GGA-PBE was carried out for a geometry-optimized SrZr structure.

```
8
Lattice="4.819 0.000 0.000 0.000 6.202 0.000 0.000 0.000 9.394" Properties=species:S:1:pos:R:3 pbc="T T T"
Sr 0.000 1.550 0.904
Sr 0.000 4.651 8.490
Sr 2.409 1.550 3.793
Sr 2.409 4.651 5.601
Zr 0.000 1.550 6.461
Zr 0.000 4.651 2.933
Zr 2.409 1.550 7.630
Zr 2.409 4.651 1.764
```

Properties
The calculation puts the magnetization at 0.00 μB per cell. As for the space group: Imma (74). As for the uncorrected energy: -0.1667 Ha/atom. The density of states at the Fermi level comes out at 10.71 states/eV/cell. The value obtained for the offset from the most stable computed form is 270.6 meV/atom.

=====

Entry 5:
A plane-wave DFT calculation with GGA-PBE was carried out for a geometry-optimized Sr2Zr structure.

```
12
Lattice="3.646 0.000 0.000 0.000 22.061 0.000 0.000 0.000 5.599" Properties=species:S:1:pos:R:3 pbc="T T T"
Sr 0.000 1.317 1.400
Sr 0.000 7.965 1.400
Sr 0.000 14.096 4.199
Sr 0.000 20.744 4.199
Sr 1.823 3.066 4.199
Sr 1.823 9.714 4.199
Sr 1.823 12.347 1.400
Sr 1.823 18.995 1.400
Zr 0.000 6.012 4.199
Zr 0.000 16.049 1.400
Zr 1.823 5.018 1.400
Zr 1.823 17.043 4.199
```

Properties
The calculation puts the magnetization at 0.00 μB per cell. As for the space group: Cmcm (63). As for the uncorrected energy: -0.1288 Ha/atom. The density of states at the Fermi level comes out at 18.60 states/eV/cell. The value obtained for the offset from the most stable computed form is 115.3 meV/atom.

=====

Entry 6:
A plane-wave DFT calculation with GGA-PBE was carried out for a geometry-optimized Sr3Zr structure.

```
4
Lattice="3.844 0.000 0.000 -1.922 3.329 0.000 0.000 0.000 12.768" Properties=species:S:1:pos:R:3 pbc="T T T"
Sr 0.000 0.000 0.000
Sr 0.000 2.219 3.609
Sr 0.000 2.219 9.159
Zr 0.000 0.000 6.384
```

Properties
The calculation puts the magnetization at 0.00 μB per cell. As for the space group: P-6m2 (187). As for the uncorrected energy: -0.1097 Ha/atom. The density of states at the Fermi level comes out at 6.92 states/eV/cell. The value obtained for the offset from the most stable computed form is 109.8 meV/atom.

=====

Entry 7:
A plane-wave DFT calculation with GGA-PBE was carried out for a geometry-optimized Sr4Zr5 structure.

```
9
Lattice="-5.444 5.444 2.497 5.444 -5.444 2.497 5.444 5.444 -2.497" Properties=species:S:1:pos:R:3 pbc="T T T"
Sr 3.400 0.000 0.000
Sr 7.488 0.000 0.000
Sr 0.000 3.400 0.000
Sr 0.000 7.488 0.000
Zr 0.000 0.000 0.000
Zr 3.957 3.957 0.000
Zr 1.488 -1.488 2.497
Zr -1.488 1.488 2.497
Zr 1.488 1.488 2.497
```

Properties
The calculation puts the magnetization at 0.00 μB per cell. As for the space group: I4/mmm (139). As for the uncorrected energy: -0.1855 Ha/atom. The density of states at the Fermi level comes out at 12.65 states/eV/cell. The value obtained for the offset from the most stable computed form is 0.0 meV/atom.

=====

Entry 8:
A plane-wave DFT calculation with GGA-PBE was carried out for a geometry-optimized SrZr structure.

```
12
Lattice="15.088 0.000 0.000 0.000 3.545 0.000 -2.016 0.000 7.703" Properties=species:S:1:pos:R:3 pbc="T T T"
Sr 0.000 0.000 0.000
Sr -0.497 0.000 3.921
Sr 3.398 0.000 4.877
Sr 7.544 1.773 0.000
Sr 7.047 1.773 3.921
Sr 10.942 1.773 4.877
Zr 2.211 1.773 2.095
Zr 1.090 1.773 6.996
Zr 4.547 0.000 1.343
Zr 9.755 0.000 2.095
Zr 8.634 0.000 6.996
Zr 12.091 1.773 1.343
```

Properties
The calculation puts the magnetization at 0.00 μB per cell. As for the space group: Cm (8). As for the uncorrected energy: -0.1734 Ha/atom. The density of states at the Fermi level comes out at 15.85 states/eV/cell. The value obtained for the offset from the most stable computed form is 88.6 meV/atom.

=====

Entry 9:
A plane-wave DFT calculation with GGA-PBE was carried out for a geometry-optimized SrZr structure.

```
4
Lattice="3.899 0.000 0.000 0.000 3.890 0.000 -0.077 0.000 9.272" Properties=species:S:1:pos:R:3 pbc="T T T"
Sr 0.954 0.972 1.668
Sr 2.869 2.917 7.603
Zr 0.935 0.972 5.189
Zr 2.888 2.917 4.082
```

Properties
The calculation puts the magnetization at 0.00 μB per cell. As for the space group: P2_1/m (11). As for the uncorrected energy: -0.1766 Ha/atom. The density of states at the Fermi level comes out at 7.31 states/eV/cell. The value obtained for the offset from the most stable computed form is 0.0 meV/atom.

=====

Entry 10:
A plane-wave DFT calculation with GGA-PBE was carried out for a geometry-optimized SrZr3 structure.

```
4
Lattice="3.268 0.000 0.000 0.000 5.215 0.000 0.000 0.000 6.600" Properties=species:S:1:pos:R:3 pbc="T T T"
Sr 0.000 0.000 0.000
Zr 0.000 2.607 2.197
Zr 1.634 0.000 3.322
Zr 1.634 2.607 4.746
```

Properties
The calculation puts the magnetization at 0.00 μB per cell. As for the space group: Pmm2 (25). As for the uncorrected energy: -0.2381 Ha/atom. The density of states at the Fermi level comes out at 4.08 states/eV/cell.

=====

Entry 11:
A plane-wave DFT calculation with GGA-PBE was carried out for a geometry-optimized SrZr3 structure.

```
4
Lattice="5.355 0.000 0.000 0.000 5.355 0.000 0.000 0.000 5.355" Properties=species:S:1:pos:R:3 pbc="T T T"
Sr 0.000 0.000 0.000
Zr 0.000 0.000 2.678
Zr 0.000 2.678 0.000
Zr 2.678 0.000 0.000
```

Properties
The calculation puts the magnetization at 2.07 μB per cell. As for the space group: Pm-3m (221). As for the uncorrected energy: -0.1513 Ha/atom. The density of states at the Fermi level comes out at 5.93 states/eV/cell.

=====

Entry 12:
A plane-wave DFT calculation with GGA-PBE was carried out for a geometry-optimized SrZr3 structure.

```
8
Lattice="6.639 0.000 0.000 0.000 9.743 0.000 0.000 0.000 3.247" Properties=species:S:1:pos:R:3 pbc="T T T"
Sr 0.000 0.000 0.000
Sr 3.320 4.872 0.000
Zr 0.000 4.872 0.000
Zr 1.660 2.436 1.624
Zr 1.660 7.307 1.624
Zr 3.320 0.000 0.000
Zr 4.979 2.436 1.624
Zr 4.979 7.307 1.624
```

Properties
The calculation puts the magnetization at 0.00 μB per cell. As for the space group: Cmmm (65). As for the uncorrected energy: -0.2335 Ha/atom. The density of states at the Fermi level comes out at 10.90 states/eV/cell.